Record 1
# NdYAsP

A geometry-optimized NdYAsP structure (PBE-GGA, Alexandria via LeMat-Bulk).

Results
The calculation puts the formation energy from the elements at -6.1 eV/f.u.

abc: 4.155 4.155 5.854
angles: 90.00 90.00 90.00
Space group P4/mmm (No. 123)
One atom of each set of equivalent atoms:
1 Nd 0.000 0.000 0.000 [1 per cell]
2 Y 0.500 0.500 0.500 [1 per cell]
3 As 0.500 0.500 0.000 [1 per cell]
4 P 0.000 0.000 0.500 [1 per cell]

---

Record 2
# PmTaAl2O8

A geometry-optimized PmTaAl2O8 structure (PBE-GGA, Alexandria via LeMat-Bulk).

Results
As for the raw formation energy: -2.53 eV per atom.

abc: 6.786 6.786 6.439
angles: 90.00 90.00 90.00
Space group I-4m2 (No. 119)
One atom of each set of equivalent atoms:
1 Pm 0.000 0.000 0.000 [2 per cell]
2 Ta 0.000 0.500 0.250 [2 per cell]
3 Al 0.000 0.000 0.500 [2 per cell]
4 Al 0.000 0.500 0.750 [2 per cell]
5 O 0.000 0.205 0.326 [8 per cell]
6 O 0.000 0.331 0.955 [8 per cell]

---

Record 3
# Y11Cd4In9

A geometry-optimized Y11Cd4In9 structure (PBE-GGA, Alexandria via LeMat-Bulk).

Results
The calculation puts the formation energy from the elements at -10.0 eV/f.u.

abc: 14.988 22.383 3.778
angles: 90.00 90.00 90.00
Space group Cmmm (No. 65)
One atom of each set of equivalent atoms:
1 Y 0.000 0.000 0.000 [2 per cell]
2 Y 0.000 0.164 0.000 [4 per cell]
3 Y 0.000 0.360 0.000 [4 per cell]
4 Y 0.226 0.500 0.000 [4 per cell]
5 Y 0.236 0.175 0.000 [8 per cell]
6 Cd 0.149 0.404 0.500 [8 per cell]
7 In 0.000 0.500 0.500 [2 per cell]
8 In 0.109 0.262 0.500 [8 per cell]
9 In 0.133 0.078 0.500 [8 per cell]